Entry 1:
A geometry-optimized Li2TiO3 structure. Source: Alexandria via LeMat-Bulk, functional PBE-GGA.

Cell: 5.1092 5.1092 9.8261 Å, 84.93 84.93 120.11°
Last column: nearest neighbours and their distance in Å.
Element x y z (fractional)
Li (0.3196, 0.1600, 0.0004)  6 O 2.09-2.23
Li (0.8400, 0.6804, 0.4996)  6 O 2.09-2.23
Li (0.6804, 0.8400, 0.9996)  6 O 2.09-2.23
Li (0.1600, 0.3196, 0.5004)  6 O 2.09-2.23
Li (0.5000, 0.0000, 0.5000)  6 O 2.06-2.20
Li (0.0000, 0.5000, 0.0000)  6 O 2.06-2.20
Li (0.0843, 0.9157, 0.7500)  6 O 2.12-2.14
Li (0.9157, 0.0843, 0.2500)  6 O 2.12-2.14
Ti (0.4174, 0.5826, 0.7500)  6 O 1.97-1.99
Ti (0.2504, 0.7496, 0.2500)  6 O 1.97-2.00
Ti (0.7496, 0.2504, 0.7500)  6 O 1.97-2.00
Ti (0.5826, 0.4174, 0.2500)  6 O 1.97-1.99
O (0.2332, 0.0452, 0.3656)  2 Ti 1.99-2.00, 4 Li 2.06-2.15
O (0.4039, 0.8770, 0.8632)  2 Ti 1.97, 3 Li 2.09-2.20
O (0.9548, 0.7668, 0.1344)  2 Ti 1.99-2.00, 4 Li 2.06-2.15
O (0.7668, 0.9548, 0.6344)  2 Ti 1.99-2.00, 4 Li 2.06-2.15
O (0.6898, 0.5208, 0.8631)  2 Ti 1.97-1.98, 3 Li 2.10-2.20
O (0.1230, 0.5961, 0.6368)  2 Ti 1.97, 3 Li 2.09-2.20
O (0.5961, 0.1230, 0.1368)  2 Ti 1.97, 3 Li 2.09-2.20
O (0.8770, 0.4039, 0.3632)  2 Ti 1.97, 3 Li 2.09-2.20
O (0.5208, 0.6898, 0.3631)  2 Ti 1.97-1.98, 3 Li 2.10-2.20
O (0.4792, 0.3102, 0.6369)  2 Ti 1.97-1.98, 3 Li 2.10-2.20
O (0.3102, 0.4792, 0.1369)  2 Ti 1.97-1.98, 3 Li 2.10-2.20
O (0.0452, 0.2332, 0.8656)  2 Ti 1.99-2.00, 4 Li 2.06-2.15

Properties
The density of states at the Fermi level comes out at 0.000 states/eV/atom. The crystal system is monoclinic. Its formation energy (no corrections) is -2.63 eV per atom.

Entry 2:
A geometry-optimized Li7Ti7O16 structure. Source: Alexandria via LeMat-Bulk, functional PBE-GGA.

Cell: 10.3704 10.3704 10.3704 Å, 33.23 33.23 33.23°
Last column: nearest neighbours and their distance in Å.
Element x y z (fractional)
Li (0.4862, 0.0147, 0.0147)  6 O 2.11-2.30
Li (0.0147, 0.0147, 0.4862)  6 O 2.11-2.30
Li (0.5017, 0.5017, 0.5017)  6 O 2.07-2.10
Li (0.6836, 0.6836, 0.6836)  4 O 1.87-2.04
Li (0.0147, 0.4862, 0.0147)  6 O 2.11-2.30
Li (0.3117, 0.3117, 0.3117)  4 O 1.99-2.08
Li (0.7650, 0.7650, 0.7650)  3 O 1.94
Ti (0.7460, 0.2579, 0.7460)  6 O 1.96-2.07
Ti (0.2579, 0.7460, 0.7460)  6 O 1.96-2.07
Ti (0.2559, 0.7455, 0.2559)  6 O 1.99-2.08
Ti (0.0007, 0.0007, 0.0007)  6 O 1.97-2.06
Ti (0.7460, 0.7460, 0.2579)  6 O 1.96-2.07
Ti (0.7455, 0.2559, 0.2559)  6 O 1.99-2.08
Ti (0.2559, 0.2559, 0.7455)  6 O 1.99-2.08
O (0.8586, 0.3904, 0.3904)  2 Ti 1.96, 3 Li 2.07-2.11
O (0.6198, 0.6198, 0.6198)  1 Li 1.87, 3 Ti 1.98
O (0.3904, 0.8586, 0.3904)  2 Ti 1.96, 3 Li 2.07-2.11
O (0.3904, 0.3904, 0.8586)  2 Ti 1.96, 3 Li 2.07-2.11
O (0.1064, 0.1064, 0.6614)  3 Ti 1.97-2.05, 1 Li 1.99
O (0.3516, 0.8932, 0.8932)  3 Ti 2.03-2.06, 1 Li 2.04
O (0.8794, 0.8794, 0.8794)  3 Ti 2.07, 3 Li 2.17
O (0.1064, 0.6614, 0.1064)  3 Ti 1.97-2.05, 1 Li 1.99
O (0.1240, 0.1240, 0.1240)  3 Ti 2.08, 3 Li 2.14
O (0.8932, 0.3516, 0.8932)  3 Ti 2.03-2.06, 1 Li 2.04
O (0.8932, 0.8932, 0.3516)  3 Ti 2.03-2.06, 1 Li 2.04
O (0.6614, 0.1064, 0.1064)  3 Ti 1.97-2.05, 1 Li 1.99
O (0.6151, 0.6151, 0.1394)  2 Li 1.94-2.10, 2 Ti 1.99
O (0.3824, 0.3824, 0.3824)  3 Ti 1.99, 1 Li 2.08
O (0.6151, 0.1394, 0.6151)  2 Li 1.94-2.10, 2 Ti 1.99
O (0.1394, 0.6151, 0.6151)  2 Li 1.94-2.10, 2 Ti 1.99

Properties
The density of states at the Fermi level comes out at 0.377 states/eV/atom. The crystal system is trigonal. Its formation energy (no corrections) is -2.70 eV per atom.

Entry 3:
A geometry-optimized Li7Ti11O24 structure. Source: Alexandria via LeMat-Bulk, functional PBE-GGA.

Cell: 8.8661 5.0807 9.7336 Å, 89.72 90.00 90.00°
Last column: nearest neighbours and their distance in Å.
Element x y z (fractional)
Li (0.5000, 0.5216, 0.6506)  5 O 2.02-2.14
Li (0.3318, 0.4396, 0.0332)  4 O 1.87-2.07
Li (0.6682, 0.4396, 0.0332)  4 O 1.87-2.07
Li (0.0000, 0.4406, 0.0375)  4 O 1.88-2.10
Li (0.3402, 0.0641, 0.5406)  4 O 1.88-2.05
Li (0.0000, 0.0570, 0.5372)  4 O 1.90-2.07
Li (0.6598, 0.0641, 0.5406)  4 O 1.88-2.05
Ti (0.1694, 0.9785, 0.1435)  6 O 1.93-2.09
Ti (0.8306, 0.9785, 0.1435)  6 O 1.93-2.09
Ti (0.5000, 0.9846, 0.1434)  6 O 1.95-2.09
Ti (0.1763, 0.5216, 0.6429)  5 O 1.90-2.08
Ti (0.8237, 0.5216, 0.6429)  5 O 1.90-2.08
Ti (0.3368, 0.4877, 0.3682)  6 O 1.92-2.07
Ti (0.6632, 0.4877, 0.3682)  6 O 1.92-2.07
Ti (0.0000, 0.4837, 0.3613)  6 O 1.98-2.05
Ti (0.3350, 0.0145, 0.8556)  6 O 1.89-2.11
Ti (0.0000, 0.0237, 0.8604)  6 O 1.96-2.03
Ti (0.6650, 0.0145, 0.8556)  6 O 1.89-2.11
O (0.1652, 0.7969, 0.7792)  3 Ti 1.93-2.03
O (0.5000, 0.8297, 0.7803)  2 Ti 1.89, 1 Li 2.02
O (0.8348, 0.7969, 0.7792)  3 Ti 1.93-2.03
O (0.3317, 0.8079, 0.0363)  1 Li 1.87, 3 Ti 1.98-2.04
O (0.0000, 0.8098, 0.0370)  1 Li 1.88, 3 Ti 2.02-2.03
O (0.6683, 0.8079, 0.0363)  1 Li 1.87, 3 Ti 1.98-2.04
O (0.3221, 0.6953, 0.5320)  1 Li 1.88, 2 Ti 1.90-1.92
O (0.0000, 0.6836, 0.5378)  1 Li 1.90, 3 Ti 2.00-2.04
O (0.6779, 0.6953, 0.5320)  1 Li 1.88, 2 Ti 1.90-1.92
O (0.8364, 0.6941, 0.2763)  3 Ti 1.93-2.06
O (0.5000, 0.6969, 0.2770)  3 Ti 1.95-2.00
O (0.1636, 0.6941, 0.2763)  3 Ti 1.93-2.06
O (0.3185, 0.2799, 0.7163)  2 Ti 1.90-1.91, 2 Li 2.05-2.12
O (0.6815, 0.2799, 0.7163)  2 Ti 1.90-1.91, 2 Li 2.05-2.12
O (0.0000, 0.2870, 0.7127)  3 Ti 1.96-2.08, 1 Li 2.07
O (0.1676, 0.2842, 0.4636)  2 Li 2.01-2.04, 3 Ti 2.04-2.13
O (0.8324, 0.2842, 0.4636)  2 Li 2.01-2.04, 3 Ti 2.04-2.13
O (0.5000, 0.2797, 0.4509)  2 Ti 1.96, 2 Li 1.99
O (0.1651, 0.2117, 0.9659)  2 Li 1.99-2.00, 3 Ti 2.03-2.11
O (0.8349, 0.2117, 0.9659)  2 Li 1.99-2.00, 3 Ti 2.03-2.11
O (0.5000, 0.2118, 0.9636)  2 Li 2.01, 3 Ti 2.06-2.09
O (0.3309, 0.2148, 0.2107)  3 Ti 1.98-2.07, 1 Li 2.07
O (0.0000, 0.2088, 0.2162)  3 Ti 1.99-2.03, 1 Li 2.10
O (0.6691, 0.2148, 0.2107)  3 Ti 1.98-2.07, 1 Li 2.07

Properties
The density of states at the Fermi level comes out at 0.274 states/eV/atom. The crystal system is monoclinic. Its formation energy (no corrections) is -2.80 eV per atom.

Entry 4:
A geometry-optimized LiTi4O8 structure. Source: Alexandria via LeMat-Bulk, functional PBE-GGA.

Cell: 6.5027 6.5027 6.6142 Å, 73.93 73.93 34.42°
Last column: nearest neighbours and their distance in Å.
Element x y z (fractional)
Li (0.3192, 0.3192, 0.0072)  5 O 1.93-2.14
Ti (0.1949, 0.1949, 0.7138)  2 O 1.79-1.92
Ti (0.8996, 0.8996, 0.7014)  4 O 1.88-1.97
Ti (0.7953, 0.7953, 0.3062)  5 O 1.91-2.03
Ti (0.0960, 0.0960, 0.2997)  4 O 1.86-1.98
O (0.9402, 0.9402, 0.3632)  2 Ti 1.86-1.94
O (0.3642, 0.3642, 0.7020)  1 Li 1.93, 3 Ti 1.97-2.08
O (0.8555, 0.8555, 0.0057)  2 Ti 1.91-1.93, 2 Li 1.98
O (0.0575, 0.0575, 0.6374)  2 Ti 1.88-1.92
O (0.2655, 0.2655, 0.3286)  3 Ti 1.96-2.17, 1 Li 2.04
O (0.1488, 0.1488, 0.9963)  2 Ti 1.79-1.92
O (0.7361, 0.7361, 0.6492)  4 Ti 2.00-2.17
O (0.6313, 0.6313, 0.3092)  3 Ti 1.98-2.03

Properties
The density of states at the Fermi level comes out at 0.384 states/eV/atom. The crystal system is monoclinic. Its formation energy (no corrections) is -2.90 eV per atom.

Entry 5:
A geometry-optimized Li4Ti3O8 structure. Source: Alexandria via LeMat-Bulk, functional PBE-GGA.

Cell: 5.8855 5.8855 5.8855 Å, 60.15 60.15 60.15°
Last column: nearest neighbours and their distance in Å.
Element x y z (fractional)
Li (0.5000, 0.5000, 0.0000)  6 O 2.12-2.22
Li (0.5000, 0.0000, 0.5000)  6 O 2.12-2.22
Li (0.0000, 0.0000, 0.0000)  6 O 2.05
Li (0.0000, 0.5000, 0.5000)  6 O 2.12-2.22
Ti (0.5000, 0.0000, 0.0000)  6 O 1.96-2.05
Ti (0.0000, 0.5000, 0.0000)  6 O 1.96-2.05
Ti (0.0000, 0.0000, 0.5000)  6 O 1.96-2.05
O (0.2459, 0.2459, 0.2459)  3 Ti 2.05, 3 Li 2.12
O (0.2135, 0.7546, 0.7546)  2 Ti 1.96, 1 Li 2.05
O (0.2454, 0.2454, 0.7865)  2 Ti 1.96, 1 Li 2.05
O (0.2454, 0.7865, 0.2454)  2 Ti 1.96, 1 Li 2.05
O (0.7546, 0.2135, 0.7546)  2 Ti 1.96, 1 Li 2.05
O (0.7546, 0.7546, 0.2135)  2 Ti 1.96, 1 Li 2.05
O (0.7865, 0.2454, 0.2454)  2 Ti 1.96, 1 Li 2.05
O (0.7541, 0.7541, 0.7541)  3 Ti 2.05, 3 Li 2.12

Properties
The density of states at the Fermi level comes out at 0.000 states/eV/atom. The crystal system is trigonal. Its formation energy (no corrections) is -2.62 eV per atom.

Entry 6:
A geometry-optimized Li3Ti5O12 structure. Source: Alexandria via LeMat-Bulk, functional PBE-GGA.

Cell: 10.7544 10.7544 10.7544 Å, 109.47 109.47 109.47°
Last column: nearest neighbours and their distance in Å.
Element x y z (fractional)
Li (0.7500, 0.3750, 0.1250)  8 O 2.41-2.54
Li (0.8750, 0.7500, 0.1250)  8 O 2.41-2.54
Li (0.3750, 0.7500, 0.6250)  8 O 2.41-2.54
Li (0.2500, 0.1250, 0.3750)  8 O 2.41-2.54
Li (0.8750, 0.1250, 0.2500)  8 O 2.41-2.54
Li (0.3750, 0.6250, 0.2500)  8 O 2.41-2.54
Li (0.6250, 0.3750, 0.7500)  8 O 2.41-2.54
Li (0.1250, 0.8750, 0.7500)  8 O 2.41-2.54
Li (0.7500, 0.8750, 0.6250)  8 O 2.41-2.54
Li (0.6250, 0.2500, 0.3750)  8 O 2.41-2.54
Li (0.1250, 0.2500, 0.8750)  8 O 2.41-2.54
Li (0.2500, 0.6250, 0.8750)  8 O 2.41-2.54
Ti (0.1250, 0.3750, 0.2500)  4 O 1.83
Ti (0.0000, 0.5000, 0.0000)  6 O 1.97
Ti (0.0000, 0.0000, 0.0000)  6 O 1.97
Ti (0.3750, 0.2500, 0.1250)  4 O 1.83
Ti (0.5000, 0.0000, 0.5000)  6 O 1.97
Ti (0.5000, 0.5000, 0.0000)  6 O 1.97
Ti (0.1250, 0.7500, 0.3750)  4 O 1.83
Ti (0.7500, 0.1250, 0.8750)  4 O 1.83
Ti (0.7500, 0.6250, 0.3750)  4 O 1.83
Ti (0.3750, 0.1250, 0.7500)  4 O 1.83
Ti (0.6250, 0.8750, 0.2500)  4 O 1.83
Ti (0.5000, 0.5000, 0.5000)  6 O 1.97
Ti (0.5000, 0.0000, 0.0000)  6 O 1.97
Ti (0.0000, 0.0000, 0.5000)  6 O 1.97
Ti (0.2500, 0.3750, 0.6250)  4 O 1.83
Ti (0.2500, 0.8750, 0.1250)  4 O 1.83
Ti (0.0000, 0.5000, 0.5000)  6 O 1.97
Ti (0.8750, 0.2500, 0.6250)  4 O 1.83
Ti (0.6250, 0.7500, 0.8750)  4 O 1.83
Ti (0.8750, 0.6250, 0.7500)  4 O 1.83
O (0.6961, 0.1146, 0.0168)  2 Ti 1.83-1.97
O (0.3207, 0.5168, 0.4022)  2 Ti 1.83-1.97
O (0.9832, 0.3854, 0.3039)  2 Ti 1.83-1.97
O (0.5168, 0.1961, 0.1146)  2 Ti 1.83-1.97
O (0.5816, 0.6961, 0.6793)  2 Ti 1.83-1.97
O (0.9832, 0.5978, 0.1793)  2 Ti 1.83-1.97
O (0.3207, 0.8039, 0.4184)  2 Ti 1.83-1.97
O (0.0978, 0.9184, 0.1146)  2 Ti 1.83-1.97
O (0.5978, 0.9832, 0.6793)  2 Ti 1.83-1.97
O (0.6961, 0.5816, 0.1793)  2 Ti 1.83-1.97
O (0.8039, 0.4832, 0.3854)  2 Ti 1.83-1.97
O (0.8207, 0.9022, 0.0168)  2 Ti 1.83-1.97
O (0.1146, 0.6961, 0.5168)  2 Ti 1.83-1.97
O (0.3854, 0.4022, 0.0816)  2 Ti 1.83-1.97
O (0.0816, 0.9022, 0.3854)  2 Ti 1.83-1.97
O (0.4184, 0.1146, 0.5978)  2 Ti 1.83-1.97
O (0.0816, 0.1793, 0.1961)  2 Ti 1.83-1.97
O (0.4832, 0.6793, 0.0978)  2 Ti 1.83-1.97
O (0.8207, 0.9184, 0.3039)  2 Ti 1.83-1.97
O (0.1146, 0.4184, 0.0978)  2 Ti 1.83-1.97
O (0.3854, 0.9832, 0.8039)  2 Ti 1.83-1.97
O (0.5978, 0.6146, 0.4184)  2 Ti 1.83-1.97
O (0.9022, 0.8207, 0.5168)  2 Ti 1.83-1.97
O (0.8039, 0.3207, 0.9184)  2 Ti 1.83-1.97
O (0.4022, 0.3854, 0.5816)  2 Ti 1.83-1.97
O (0.0978, 0.1793, 0.4832)  2 Ti 1.83-1.97
O (0.1961, 0.6793, 0.0816)  2 Ti 1.83-1.97
O (0.1793, 0.0816, 0.6961)  2 Ti 1.83-1.97
O (0.6146, 0.0168, 0.1961)  2 Ti 1.83-1.97
O (0.8854, 0.5816, 0.9022)  2 Ti 1.83-1.97
O (0.5168, 0.3207, 0.9022)  2 Ti 1.83-1.97
O (0.5816, 0.8854, 0.4022)  2 Ti 1.83-1.97
O (0.9184, 0.8207, 0.8039)  2 Ti 1.83-1.97
O (0.9184, 0.0978, 0.6146)  2 Ti 1.83-1.97
O (0.8854, 0.3039, 0.4832)  2 Ti 1.83-1.97
O (0.1793, 0.0978, 0.9832)  2 Ti 1.83-1.97
O (0.6146, 0.5978, 0.9184)  2 Ti 1.83-1.97
O (0.4022, 0.0168, 0.3207)  2 Ti 1.83-1.97
O (0.3039, 0.4184, 0.8207)  2 Ti 1.83-1.97
O (0.1961, 0.5168, 0.6146)  2 Ti 1.83-1.97
O (0.9022, 0.0816, 0.8854)  2 Ti 1.83-1.97
O (0.6793, 0.1961, 0.5816)  2 Ti 1.83-1.97
O (0.4832, 0.8039, 0.8854)  2 Ti 1.83-1.97
O (0.0168, 0.4022, 0.8207)  2 Ti 1.83-1.97
O (0.4184, 0.3039, 0.3207)  2 Ti 1.83-1.97
O (0.0168, 0.6146, 0.6961)  2 Ti 1.83-1.97
O (0.6793, 0.4832, 0.5978)  2 Ti 1.83-1.97
O (0.3039, 0.8854, 0.9832)  2 Ti 1.83-1.97

Properties
The density of states at the Fermi level comes out at 0.747 states/eV/atom. The crystal system is cubic. Its formation energy (no corrections) is -2.63 eV per atom.

Which value of formation energy (no corrections) does entry 3 give?
-2.80 eV per atom